# CuB3W4 PBE-GGA optimized geometry
# density	14.019	g/cm3
# final energy	-9.472	eV per atom
# V	196.9	Å³ per cell
data_CuB3W4
_space_group_name_H-M_alt 'P 63/m m c'
_space_group_IT_number 194
_space_group_name_Hall '-P 6c 2c'
_cell_length_a 3.1129
_cell_length_b 3.1129
_cell_length_c 23.4680
_cell_angle_alpha 90.00
_cell_angle_beta 90.00
_cell_angle_gamma 120.00
loop_
_atom_site_label
_atom_site_type_symbol
_atom_site_fract_x
_atom_site_fract_y
_atom_site_fract_z
_atom_site_occupancy
Cu1 Cu 0.3333 0.6667 0.2500 1
B1 B 0.0000 0.0000 0.0000 1
B2 B 0.3333 0.6667 0.6128 1
W1 W 0.0000 0.0000 0.1627 1
W2 W 0.3333 0.6667 0.0579 1



# CuBW PBE-GGA optimized geometry
# density	10.284	g/cm3
# final energy	-6.613	eV per atom
# V	166.8	Å³ per cell
data_CuBW
_space_group_name_H-M_alt 'F -4 3 m'
_space_group_IT_number 216
_space_group_name_Hall 'F -4 2 3'
_cell_length_a 5.5043
_cell_length_b 5.5043
_cell_length_c 5.5043
_cell_angle_alpha 90.00
_cell_angle_beta 90.00
_cell_angle_gamma 90.00
loop_
_atom_site_label
_atom_site_type_symbol
_atom_site_fract_x
_atom_site_fract_y
_atom_site_fract_z
_atom_site_occupancy
Cu1 Cu 0.0000 0.0000 0.0000 1
B1 B 0.0000 0.0000 0.5000 1
W1 W 0.2500 0.2500 0.7500 1



# CuB2W3 PBE-GGA optimized geometry
# density	13.862	g/cm3
# final energy	-9.270	eV per atom
# V	152.5	Å³ per cell
data_CuB2W3
_space_group_name_H-M_alt 'P 63/m m c'
_space_group_IT_number 194
_space_group_name_Hall '-P 6c 2c'
_cell_length_a 3.0949
_cell_length_b 3.0949
_cell_length_c 18.3888
_cell_angle_alpha 90.00
_cell_angle_beta 90.00
_cell_angle_gamma 120.00
loop_
_atom_site_label
_atom_site_type_symbol
_atom_site_fract_x
_atom_site_fract_y
_atom_site_fract_z
_atom_site_occupancy
Cu1 Cu 0.0000 0.0000 0.2500 1
B1 B 0.3333 0.6667 0.0723 1
W1 W 0.0000 0.0000 0.0000 1
W2 W 0.3333 0.6667 0.6373 1



# CuBW PBE-GGA optimized geometry
# density	10.950	g/cm3
# final energy	-6.510	eV per atom
# V	156.6	Å³ per cell
data_CuBW
_space_group_name_H-M_alt 'F -4 3 m'
_space_group_IT_number 216
_space_group_name_Hall 'F -4 2 3'
_cell_length_a 5.3904
_cell_length_b 5.3904
_cell_length_c 5.3904
_cell_angle_alpha 90.00
_cell_angle_beta 90.00
_cell_angle_gamma 90.00
loop_
_atom_site_label
_atom_site_type_symbol
_atom_site_fract_x
_atom_site_fract_y
_atom_site_fract_z
_atom_site_occupancy
Cu1 Cu 0.0000 0.0000 0.0000 1
B1 B 0.2500 0.2500 0.7500 1
W1 W 0.2500 0.2500 0.2500 1



# Cu2BW PBE-GGA optimized geometry
# density	11.553	g/cm3
# final energy	-6.135	eV per atom
# V	185.0	Å³ per cell
data_Cu2BW
_space_group_name_H-M_alt 'F -4 3 m'
_space_group_IT_number 216
_space_group_name_Hall 'F -4 2 3'
_cell_length_a 5.6978
_cell_length_b 5.6978
_cell_length_c 5.6978
_cell_angle_alpha 90.00
_cell_angle_beta 90.00
_cell_angle_gamma 90.00
loop_
_atom_site_label
_atom_site_type_symbol
_atom_site_fract_x
_atom_site_fract_y
_atom_site_fract_z
_atom_site_occupancy
Cu1 Cu 0.0000 0.0000 0.0000 1
Cu2 Cu 0.2500 0.2500 0.2500 1
B1 B 0.0000 0.0000 0.5000 1
W1 W 0.2500 0.2500 0.7500 1



# CuB2W PBE-GGA optimized geometry
# density	10.542	g/cm3
# final energy	-6.158	eV per atom
# V	169.5	Å³ per cell
data_CuB2W
_space_group_name_H-M_alt 'F -4 3 m'
_space_group_IT_number 216
_space_group_name_Hall 'F -4 2 3'
_cell_length_a 5.5341
_cell_length_b 5.5341
_cell_length_c 5.5341
_cell_angle_alpha 90.00
_cell_angle_beta 90.00
_cell_angle_gamma 90.00
loop_
_atom_site_label
_atom_site_type_symbol
_atom_site_fract_x
_atom_site_fract_y
_atom_site_fract_z
_atom_site_occupancy
Cu1 Cu 0.0000 0.0000 0.0000 1
B1 B 0.0000 0.0000 0.5000 1
B2 B 0.2500 0.2500 0.7500 1
W1 W 0.2500 0.2500 0.2500 1



# CuBW2 PBE-GGA optimized geometry
# density	13.720	g/cm3
# ΔE to the lowest computed polymorph	0.0	kJ/mol of atoms
# V	107.0	Å³ per cell
data_CuBW2
_space_group_name_H-M_alt 'P 63/m m c'
_space_group_IT_number 194
_space_group_name_Hall '-P 6c 2c'
_cell_length_a 3.0812
_cell_length_b 3.0812
_cell_length_c 13.0146
_cell_angle_alpha 90.00
_cell_angle_beta 90.00
_cell_angle_gamma 120.00
loop_
_atom_site_label
_atom_site_type_symbol
_atom_site_fract_x
_atom_site_fract_y
_atom_site_fract_z
_atom_site_occupancy
Cu1 Cu 0.3333 0.6667 0.2500 1
B1 B 0.0000 0.0000 0.0000 1
W1 W 0.3333 0.6667 0.5922 1



# YCuBW PBE-GGA optimized geometry
# density	9.403	g/cm3
# ΔE to the lowest computed polymorph	0.0	kJ/mol of atoms
# V	245.2	Å³ per cell
data_YCuBW
_space_group_name_H-M_alt 'F -4 3 m'
_space_group_IT_number 216
_space_group_name_Hall 'F -4 2 3'
_cell_length_a 6.2588
_cell_length_b 6.2588
_cell_length_c 6.2588
_cell_angle_alpha 90.00
_cell_angle_beta 90.00
_cell_angle_gamma 90.00
loop_
_atom_site_label
_atom_site_type_symbol
_atom_site_fract_x
_atom_site_fract_y
_atom_site_fract_z
_atom_site_occupancy
Y1 Y 0.0000 0.0000 0.0000 1
Cu1 Cu 0.2500 0.2500 0.7500 1
B1 B 0.0000 0.0000 0.5000 1
W1 W 0.2500 0.2500 0.2500 1



# YCuBW PBE-GGA optimized geometry
# density	8.820	g/cm3
# ΔE to the lowest computed polymorph	12.5	kJ/mol of atoms
# V	261.4	Å³ per cell
data_YCuBW
_space_group_name_H-M_alt 'F -4 3 m'
_space_group_IT_number 216
_space_group_name_Hall 'F -4 2 3'
_cell_length_a 6.3940
_cell_length_b 6.3940
_cell_length_c 6.3940
_cell_angle_alpha 90.00
_cell_angle_beta 90.00
_cell_angle_gamma 90.00
loop_
_atom_site_label
_atom_site_type_symbol
_atom_site_fract_x
_atom_site_fract_y
_atom_site_fract_z
_atom_site_occupancy
Y1 Y 0.0000 0.0000 0.0000 1
Cu1 Cu 0.0000 0.0000 0.5000 1
B1 B 0.2500 0.2500 0.2500 1
W1 W 0.2500 0.2500 0.7500 1



# Y2CuB PBE-GGA optimized geometry
# density	4.786	g/cm3
# final energy	-5.786	eV per atom
# V	175.0	Å³ per cell
data_Y2CuB
_space_group_name_H-M_alt 'P 63/m m c'
_space_group_IT_number 194
_space_group_name_Hall '-P 6c 2c'
_cell_length_a 3.8193
_cell_length_b 3.8193
_cell_length_c 13.8522
_cell_angle_alpha 90.00
_cell_angle_beta 90.00
_cell_angle_gamma 120.00
loop_
_atom_site_label
_atom_site_type_symbol
_atom_site_fract_x
_atom_site_fract_y
_atom_site_fract_z
_atom_site_occupancy
Y1 Y 0.3333 0.6667 0.1032 1
Cu1 Cu 0.3333 0.6667 0.7500 1
B1 B 0.0000 0.0000 0.0000 1



# Y2CuB PBE-GGA optimized geometry
# density	5.798	g/cm3
# final energy	-5.034	eV per atom
# V	288.9	Å³ per cell
data_Y2CuB
_space_group_name_H-M_alt 'F -4 3 m'
_space_group_IT_number 216
_space_group_name_Hall 'F -4 2 3'
_cell_length_a 6.6105
_cell_length_b 6.6105
_cell_length_c 6.6105
_cell_angle_alpha 90.00
_cell_angle_beta 90.00
_cell_angle_gamma 90.00
loop_
_atom_site_label
_atom_site_type_symbol
_atom_site_fract_x
_atom_site_fract_y
_atom_site_fract_z
_atom_site_occupancy
Y1 Y 0.0000 0.0000 0.0000 1
Y2 Y 0.2500 0.2500 0.2500 1
Cu1 Cu 0.2500 0.2500 0.7500 1
B1 B 0.0000 0.0000 0.5000 1



# YCu2B PBE-GGA optimized geometry
# density	6.514	g/cm3
# final energy	-4.925	eV per atom
# V	231.3	Å³ per cell
data_YCu2B
_space_group_name_H-M_alt 'F -4 3 m'
_space_group_IT_number 216
_space_group_name_Hall 'F -4 2 3'
_cell_length_a 6.1381
_cell_length_b 6.1381
_cell_length_c 6.1381
_cell_angle_alpha 90.00
_cell_angle_beta 90.00
_cell_angle_gamma 90.00
loop_
_atom_site_label
_atom_site_type_symbol
_atom_site_fract_x
_atom_site_fract_y
_atom_site_fract_z
_atom_site_occupancy
Y1 Y 0.0000 0.0000 0.0000 1
Cu1 Cu 0.0000 0.0000 0.5000 1
Cu2 Cu 0.2500 0.2500 0.2500 1
B1 B 0.2500 0.2500 0.7500 1



# Y3CuB2 PBE-GGA optimized geometry
# density	4.728	g/cm3
# final energy	-5.959	eV per atom
# V	247.2	Å³ per cell
data_Y3CuB2
_space_group_name_H-M_alt 'P 63/m m c'
_space_group_IT_number 194
_space_group_name_Hall '-P 6c 2c'
_cell_length_a 3.6798
_cell_length_b 3.6798
_cell_length_c 21.0776
_cell_angle_alpha 90.00
_cell_angle_beta 90.00
_cell_angle_gamma 120.00
loop_
_atom_site_label
_atom_site_type_symbol
_atom_site_fract_x
_atom_site_fract_y
_atom_site_fract_z
_atom_site_occupancy
Y1 Y 0.0000 0.0000 0.0000 1
Y2 Y 0.3333 0.6667 0.1500 1
Cu1 Cu 0.0000 0.0000 0.2500 1
B1 B 0.3333 0.6667 0.5807 1



# YCuB2 PBE-GGA optimized geometry
# density	5.496	g/cm3
# final energy	-5.048	eV per atom
# V	210.4	Å³ per cell
data_YCuB2
_space_group_name_H-M_alt 'F -4 3 m'
_space_group_IT_number 216
_space_group_name_Hall 'F -4 2 3'
_cell_length_a 5.9474
_cell_length_b 5.9474
_cell_length_c 5.9474
_cell_angle_alpha 90.00
_cell_angle_beta 90.00
_cell_angle_gamma 90.00
loop_
_atom_site_label
_atom_site_type_symbol
_atom_site_fract_x
_atom_site_fract_y
_atom_site_fract_z
_atom_site_occupancy
Y1 Y 0.0000 0.0000 0.0000 1
Cu1 Cu 0.2500 0.2500 0.7500 1
B1 B 0.0000 0.0000 0.5000 1
B2 B 0.2500 0.2500 0.2500 1



# Y4CuB3 PBE-GGA optimized geometry
# density	4.629	g/cm3
# final energy	-6.035	eV per atom
# V	324.0	Å³ per cell
data_Y4CuB3
_space_group_name_H-M_alt 'P 63/m m c'
_space_group_IT_number 194
_space_group_name_Hall '-P 6c 2c'
_cell_length_a 3.6445
_cell_length_b 3.6445
_cell_length_c 28.1686
_cell_angle_alpha 90.00
_cell_angle_beta 90.00
_cell_angle_gamma 120.00
loop_
_atom_site_label
_atom_site_type_symbol
_atom_site_fract_x
_atom_site_fract_y
_atom_site_fract_z
_atom_site_occupancy
Y1 Y 0.0000 0.0000 0.1746 1
Y2 Y 0.3333 0.6667 0.0594 1
Cu1 Cu 0.3333 0.6667 0.2500 1
B1 B 0.0000 0.0000 0.0000 1
B2 B 0.3333 0.6667 0.6218 1



# Y2Cu2B PBE-GGA optimized geometry
# density	6.253	g/cm3
# final energy	-5.140	eV per atom
# V	167.7	Å³ per cell
data_Y2Cu2B
_space_group_name_H-M_alt 'I 4/m m m'
_space_group_IT_number 139
_space_group_name_Hall '-I 4 2'
_cell_length_a 3.4311
_cell_length_b 3.4311
_cell_length_c 14.2438
_cell_angle_alpha 90.00
_cell_angle_beta 90.00
_cell_angle_gamma 90.00
loop_
_atom_site_label
_atom_site_type_symbol
_atom_site_fract_x
_atom_site_fract_y
_atom_site_fract_z
_atom_site_occupancy
Y1 Y 0.0000 0.0000 0.0952 1
Cu1 Cu 0.0000 0.5000 0.2500 1
B1 B 0.0000 0.0000 0.5000 1



# YCuB4 PBE-GGA optimized geometry
# density	5.103	g/cm3
# ΔE to the lowest computed polymorph	1.8	kJ/mol of atoms
# V	127.4	Å³ per cell
data_YCuB4
_space_group_name_H-M_alt 'I m m m'
_space_group_IT_number 71
_space_group_name_Hall '-I 2 2'
_cell_length_a 3.1591
_cell_length_b 5.2851
_cell_length_c 7.6287
_cell_angle_alpha 90.00
_cell_angle_beta 90.00
_cell_angle_gamma 90.00
loop_
_atom_site_label
_atom_site_type_symbol
_atom_site_fract_x
_atom_site_fract_y
_atom_site_fract_z
_atom_site_occupancy
Y1 Y 0.0000 0.0000 0.0000 1
Cu1 Cu 0.0000 0.0000 0.5000 1
B1 B 0.0000 0.3215 0.2603 1



# YCuB4 PBE-GGA optimized geometry
# density	5.492	g/cm3
# ΔE to the lowest computed polymorph	0.0	kJ/mol of atoms
# V	59.2	Å³ per cell
data_YCuB4
_space_group_name_H-M_alt 'P 6/m m m'
_space_group_IT_number 191
_space_group_name_Hall '-P 6 2'
_cell_length_a 3.2049
_cell_length_b 3.2049
_cell_length_c 6.6516
_cell_angle_alpha 90.00
_cell_angle_beta 90.00
_cell_angle_gamma 120.00
loop_
_atom_site_label
_atom_site_type_symbol
_atom_site_fract_x
_atom_site_fract_y
_atom_site_fract_z
_atom_site_occupancy
Y1 Y 0.0000 0.0000 0.0000 1
Cu1 Cu 0.0000 0.0000 0.5000 1
B1 B 0.3333 0.6667 0.2832 1



# YZnCuB PBE-GGA optimized geometry
# density	6.263	g/cm3
# ΔE to the lowest computed polymorph	19.6	kJ/mol of atoms
# V	242.5	Å³ per cell
data_YZnCuB
_space_group_name_H-M_alt 'F -4 3 m'
_space_group_IT_number 216
_space_group_name_Hall 'F -4 2 3'
_cell_length_a 6.2360
_cell_length_b 6.2360
_cell_length_c 6.2360
_cell_angle_alpha 90.00
_cell_angle_beta 90.00
_cell_angle_gamma 90.00
loop_
_atom_site_label
_atom_site_type_symbol
_atom_site_fract_x
_atom_site_fract_y
_atom_site_fract_z
_atom_site_occupancy
Y1 Y 0.0000 0.0000 0.0000 1
Zn1 Zn 0.2500 0.2500 0.2500 1
Cu1 Cu 0.2500 0.2500 0.7500 1
B1 B 0.0000 0.0000 0.5000 1



# YZnCuB PBE-GGA optimized geometry
# density	6.312	g/cm3
# ΔE to the lowest computed polymorph	0.0	kJ/mol of atoms
# V	240.6	Å³ per cell
data_YZnCuB
_space_group_name_H-M_alt 'F -4 3 m'
_space_group_IT_number 216
_space_group_name_Hall 'F -4 2 3'
_cell_length_a 6.2200
_cell_length_b 6.2200
_cell_length_c 6.2200
_cell_angle_alpha 90.00
_cell_angle_beta 90.00
_cell_angle_gamma 90.00
loop_
_atom_site_label
_atom_site_type_symbol
_atom_site_fract_x
_atom_site_fract_y
_atom_site_fract_z
_atom_site_occupancy
Y1 Y 0.0000 0.0000 0.0000 1
Zn1 Zn 0.2500 0.2500 0.7500 1
Cu1 Cu 0.0000 0.0000 0.5000 1
B1 B 0.2500 0.2500 0.2500 1